No. 1
Below is a geometry-optimized Hf2MnPd8 structure, with properties calculated at the PBE level.

Results
- Total magnetic moment: 0.379 μB/atom
- Calculated formation energy: -0.563 eV/atom
- Density: 11.7 g cm⁻³

Structure (POSCAR):
```
Hf2MnPd8
1.0
7.121 -2.035 0.000
7.121 2.035 0.000
-1.992 0.000 6.166
Hf Mn Pd
2 1 8
Direct
0.218 0.218 0.165 Hf
0.782 0.782 0.835 Hf
0.500 0.500 0.500 Mn
0.040 0.040 0.229 Pd
0.145 0.145 0.694 Pd
0.325 0.325 0.590 Pd
0.403 0.403 0.053 Pd
0.597 0.597 0.947 Pd
0.675 0.675 0.410 Pd
0.855 0.855 0.306 Pd
0.960 0.960 0.771 Pd
```

No. 2
Below is a geometry-optimized LiErGaPt structure, with properties calculated at the PBE level.

Results
- Total magnetic moment: 0.000 μB/atom
- Calculated formation energy: -0.796 eV/atom
- Density: 10.4 g cm⁻³

Structure (POSCAR):
```
LiErGaPt
1.0
6.551 0.000 0.000
0.000 6.551 0.000
0.000 0.000 6.551
Li Er Ga Pt
4 4 4 4
Direct
0.000 0.000 0.000 Li
0.000 0.500 0.500 Li
0.500 0.000 0.500 Li
0.500 0.500 0.000 Li
0.250 0.250 0.250 Er
0.250 0.750 0.750 Er
0.750 0.250 0.750 Er
0.750 0.750 0.250 Er
0.250 0.250 0.750 Ga
0.250 0.750 0.250 Ga
0.750 0.250 0.250 Ga
0.750 0.750 0.750 Ga
0.000 0.000 0.500 Pt
0.000 0.500 0.000 Pt
0.500 0.000 0.000 Pt
0.500 0.500 0.500 Pt
```

No. 3
Below is a geometry-optimized ZnTe3 structure, with properties calculated at the PBE level.

Results
- Total magnetic moment: 0.000 μB/atom
- Density: 6.7 g cm⁻³
- ΔE_f (raw): 0.09 eV/atom

Structure (POSCAR):
```
ZnTe3
1.0
3.995 0.000 0.000
-1.997 3.460 0.000
0.000 0.000 8.046
Zn Te
1 3
Direct
0.000 0.000 0.000 Zn
0.000 0.000 0.500 Te
0.333 0.667 0.210 Te
0.333 0.667 0.790 Te
```

What is the formula in the first record? Hf2MnPd8

The highest total magnetic moment belongs to which entry? Hf2MnPd8

What is the formula in the first record? Hf2MnPd8

What is the formula in the third record? ZnTe3